Rb2ErAgBr6 | PBE | optimized geometry

Computed properties:
SG: No. 14
Total moment in Bohr magnetons per cell: 0.00
DFT total energy in eV per atom: -3.476
Raw formation energy in eV/f.u.: -15.378

Unit cell a=7.8517 b=8.0595 c=11.0204 alpha=90.00 beta=89.81 gamma=90.00
Element x y z (fractional)
1 Br 0.2152 0.1999 0.4621
2 Ag 0.5000 0.0000 0.0000
3 Br 0.1982 0.2166 0.0361
4 Br 0.4259 0.9895 0.7478
5 Br 0.5741 0.0105 0.2522
6 Er 0.0000 0.5000 0.0000
7 Br 0.9259 0.5105 0.2478
8 Er 0.5000 0.0000 0.5000
9 Ag 0.0000 0.5000 0.5000
10 Br 0.8018 0.7834 0.9639
11 Br 0.7848 0.8001 0.5379
12 Rb 0.4838 0.4411 0.2492
13 Rb 0.5162 0.5589 0.7508
14 Rb 0.0162 0.9411 0.2508
15 Br 0.7152 0.3001 0.9621
16 Br 0.3018 0.7166 0.4639
17 Rb 0.9838 0.0589 0.7492
18 Br 0.2848 0.6999 0.0379
19 Br 0.6982 0.2834 0.5361
20 Br 0.0741 0.4895 0.7522